Entry 1:
The following is a DFT calculation (PBE-GGA) of La2Ho6Tm3Sc after structural relaxation.

Cell: 6.1126 6.1126 11.7178 Å, 94.98 94.98 120.02°
Positions (direct):
La 0.3338 0.6662 0.0000
La 0.6662 0.3338 0.0000
Ho 0.9155 0.5859 0.7461
Ho 0.7547 0.7547 0.2542
Ho 0.0845 0.4141 0.2539
Ho 0.5859 0.9155 0.7461
Ho 0.2453 0.2453 0.7458
Ho 0.4141 0.0845 0.2539
Tm 0.1662 0.8338 0.5000
Tm 0.8338 0.1662 0.5000
Tm 0.5000 0.5000 0.5000
Sc 0.0000 0.0000 0.0000

Space-group type: C2/m
ΔH_f (0 K) (kJ per mole of atoms): 3.3
Total DFT energy (no corrections) (eV per atom): -4.722

***

Entry 2:
The following is a DFT calculation (PBE-GGA) of La6HoTm2Sc after structural relaxation.

Cell: 8.8003 7.1314 6.7215 Å, 122.04 103.53 90.00°
Positions (direct):
La 0.4334 0.6374 0.2748
La 0.2031 0.0471 0.6508
La 0.7969 0.3963 0.3492
La 0.2031 0.6037 0.6508
La 0.7969 0.9529 0.3492
La 0.5666 0.3626 0.7252
Ho 0.0000 0.5000 0.0000
Tm 0.1760 0.0902 0.1804
Tm 0.8240 0.9098 0.8196
Sc 0.5000 0.0000 0.0000

Space-group type: C2/m
ΔH_f (0 K) (kJ per mole of atoms): 18.3
Total DFT energy (no corrections) (eV per atom): -4.752

***

Entry 3:
The following is a DFT calculation (PBE-GGA) of LaHoTm3Sc after structural relaxation.

Cell: 4.9527 7.8150 9.9584 Å, 90.00 90.00 108.47°
Positions (direct):
La 0.4972 0.9944 0.7500
La 0.5028 0.0056 0.2500
Ho 0.0000 0.0000 0.5000
Ho 0.0000 0.0000 0.0000
Tm 0.6692 0.3384 0.5011
Tm 0.3308 0.6616 0.4989
Tm 0.3308 0.6616 0.0011
Tm 0.6692 0.3384 0.9989
Tm 0.1716 0.3432 0.7500
Tm 0.8284 0.6568 0.2500
Sc 0.8299 0.6598 0.7500
Sc 0.1701 0.3402 0.2500

Space-group type: Cmcm
ΔH_f (0 K) (kJ per mole of atoms): 5.1
Total DFT energy (no corrections) (eV per atom): -4.822

***

Entry 4:
The following is a DFT calculation (PBE-GGA) of La4Ho2TmSc after structural relaxation.

Cell: 5.2240 5.2139 10.9663 Å, 61.60 90.00 90.00°
Positions (direct):
La 0.0000 0.7545 0.7458
La 0.0000 0.2455 0.2542
La 0.5000 0.7461 0.2540
La 0.5000 0.2539 0.7460
Ho 0.0000 0.0000 0.0000
Ho 0.5000 0.0000 0.5000
Tm 0.5000 0.5000 0.0000
Sc 0.0000 0.5000 0.5000

Space-group type: Pmmm
ΔH_f (0 K) (kJ per mole of atoms): 3.4
Total DFT energy (no corrections) (eV per atom): -4.924

***

Entry 5:
The following is a DFT calculation (PBE-GGA) of LaHo3Tm6Sc2 after structural relaxation.

Cell: 6.0215 6.0215 11.5696 Å, 94.96 94.96 119.97°
Positions (direct):
La 0.0000 0.0000 0.0000
Ho 0.1674 0.8326 0.5000
Ho 0.8326 0.1674 0.5000
Ho 0.5000 0.5000 0.5000
Tm 0.9163 0.5800 0.7514
Tm 0.7471 0.7471 0.2488
Tm 0.0837 0.4200 0.2486
Tm 0.5800 0.9163 0.7514
Tm 0.2529 0.2529 0.7512
Tm 0.4200 0.0837 0.2486
Sc 0.3333 0.6667 0.0000
Sc 0.6667 0.3333 0.0000

Space-group type: C2/m
ΔH_f (0 K) (kJ per mole of atoms): 4.1
Total DFT energy (no corrections) (eV per atom): -4.803

***

Entry 6:
The following is a DFT calculation (PBE-GGA) of LaHoTmSc after structural relaxation.

Cell: 3.5148 3.5145 11.5548 Å, 90.00 98.74 119.99°
Positions (direct):
La 0.9648 0.3807 0.3607
Ho 0.3066 0.5511 0.8732
Tm 0.4754 0.1355 0.6265
Sc 0.1311 0.9635 0.1092

Space-group type: R3m
ΔH_f (0 K) (kJ per mole of atoms): 6.6
Total DFT energy (no corrections) (eV per atom): -5.009
Distance to the lowest polymorph of the same formula (eV per formula unit): 0.00

***

> total DFT energy (no corrections) of number 2 (La6HoTm2Sc)?

-4.752 eV per atom